The following is a DFT calculation (SCAN) of Ba3NiS at its PBEsol-relaxed geometry.

Lattice parameters (Å, degrees): 5.9224 5.9224 5.9224 90.00 90.00 90.00
Positions (direct):
1 Ba 0.0000 0.0000 0.5000
2 Ba 0.0000 0.5000 0.0000
3 Ba 0.5000 0.0000 0.0000
4 S 0.0000 0.0000 0.0000
5 Ni 0.5000 0.5000 0.5000

Values from the calculation:
* space-group type: Pm-3m (221)
* calculated total energy: -29.25 eV/atom



The following is a DFT calculation (SCAN) of BaScNiS2 at its PBEsol-relaxed geometry.

Lattice parameters (Å, degrees): 4.7574 5.5387 5.5387 90.00 90.00 90.00
Each line ends with the local moment (μB).
Positions (direct):
1 Sc 0.5000 0.5000 0.5000  0.66
2 S 0.0000 0.0000 0.5000  -0.15
3 S 0.0000 0.5000 0.0000  -0.15
4 Ni 0.5000 0.0000 0.0000  -0.53
5 Ba 0.0000 0.0000 0.0000  -0.02

Values from the calculation:
* space-group type: P4/mmm (123)
* calculated total energy: -17.30 eV/atom



The following is a DFT calculation (SCAN) of BaNi2SnS at its PBEsol-relaxed geometry.

Lattice parameters (Å, degrees): 4.8224 4.8224 5.7141 90.00 90.00 90.00
Positions (direct):
1 Ni 0.0000 0.5000 0.0000
2 Ni 0.5000 0.0000 0.0000
3 Ba 0.0000 0.0000 0.0000
4 S 0.0000 0.0000 0.5000
5 Sn 0.5000 0.5000 0.5000

Values from the calculation:
* space-group type: P4/mmm (123)
* calculated total energy: -22.22 eV/atom



The following is a DFT calculation (SCAN) of Ba2NiSb at its PBEsol-relaxed geometry.

Lattice parameters (Å, degrees): 4.5959 4.9710 6.2697 113.35 90.00 90.00
Positions (direct):
1 Ba 0.0000 0.9831 0.9662
2 Ba 0.5000 0.2735 0.5470
3 Ni 0.0000 0.6694 0.3388
4 Sb 0.5000 0.5781 0.1563

Values from the calculation:
* space-group type: Amm2 (38)
* calculated total energy: -33.62 eV/atom



The following is a DFT calculation (SCAN) of Ba2NiSb at its PBEsol-relaxed geometry.

Lattice parameters (Å, degrees): 4.7724 4.7789 6.7596 90.00 90.00 90.00
Each line ends with the local moment (μB).
Positions (direct):
1 Ba 0.5000 0.5000 0.6256  -0.03
2 Ba 0.0000 0.0000 0.1248  -0.01
3 Sb 0.5000 0.5000 0.1257  0.06
4 Ni 0.0000 0.0000 0.6239  0.90

Values from the calculation:
* space-group type: P4mm (99)
* calculated total energy: -33.32 eV/atom



The following is a DFT calculation (SCAN) of BaNiSbTe2 at its PBEsol-relaxed geometry.

Lattice parameters (Å, degrees): 4.7646 5.4109 5.4109 90.00 90.00 90.00
Positions (direct):
1 Sb 0.5000 0.0000 0.0000
2 Te 0.0000 0.0000 0.5000
3 Te 0.0000 0.5000 0.0000
4 Ba 0.5000 0.5000 0.5000
5 Ni 0.0000 0.0000 0.0000

Values from the calculation:
* space-group type: P4/mmm (123)
* calculated total energy: -34.11 eV/atom



The following is a DFT calculation (SCAN) of BaYNi2Sb at its PBEsol-relaxed geometry.

Lattice parameters (Å, degrees): 4.7715 4.7715 6.0706 90.00 90.00 90.00
Positions (direct):
1 Sb 0.5000 0.5000 0.5000
2 Ni 0.0000 0.5000 0.0000
3 Ni 0.5000 0.0000 0.0000
4 Ba 0.0000 0.0000 0.5000
5 Y 0.0000 0.0000 0.0000

Values from the calculation:
* space-group type: P4/mmm (123)
* calculated total energy: -26.45 eV/atom



The following is a DFT calculation (SCAN) of BaScNi2 at its PBEsol-relaxed geometry.

Lattice parameters (Å, degrees): 3.7395 3.8516 6.4747 90.00 106.76 90.00
Positions (direct):
1 Ni 0.9520 0.5000 0.2799
2 Ni 0.8463 0.0000 0.0675
3 Ba 0.2176 0.5000 0.8097
4 Sc 0.4840 0.0000 0.3429

Values from the calculation:
* space-group type: Amm2 (38)
* formation energy: -0.08 eV per formula unit



no.,magnetization (μB/cell)
1,0.001
2,0.085
3,0.000
4,0.001
5,0.907
6,0.000
7,0.000
8,0.000